# 1
# NdSm4Ga2

Crystalline NdSm4Ga2 at its relaxed geometry (GGA-PBE, Alexandria via LeMat-Bulk).

Unit cell a=5.0293 b=5.0293 c=30.5881 alpha=90.00 beta=90.00 gamma=120.00
Closest atoms and distances in Å follow each position.
Space group R-3m (No. 166, hexagonal axes)
Symmetry-distinct sites (fractional):
Nd (0.0000, 0.0000, 0.0000) x3  2 Ga 3.06
Sm (0.0000, 0.0000, 0.2022) x6  4 Ga 3.05-3.12
Sm (0.0000, 0.0000, 0.3973) x6  3 Ga 3.11
Ga (0.0000, 0.0000, 0.1001) x6  7 Sm 3.05-3.12, 1 Nd 3.06

Properties
Total DFT energy (no corrections) = -0.160 Ha/atom
Energy relative to the elements = -0.10 eV per atom
Total magnetization = 0.00 μB/atom

---

# 2
# LiU3Tl2O12

Crystalline LiU3Tl2O12 at its relaxed geometry (GGA-PBE, Alexandria via LeMat-Bulk).

Unit cell a=8.1062 b=8.1062 c=17.5260 alpha=90.00 beta=90.00 gamma=120.00
Closest atoms and distances in Å follow each position.
Space group R-3m (No. 166, hexagonal axes)
Symmetry-distinct sites (fractional):
Li (0.0000, 0.0000, 0.0000) x3  6 O 2.14
U (0.0000, 0.5000, 0.5000) x9  2 O 1.88
Tl (0.0000, 0.0000, 0.3450) x6  6 O 3.14-3.16
O (0.0729, 0.5365, 0.6034) x18  1 U 1.88
O (0.0886, 0.5443, 0.8601) x18  2 U 2.15

Properties
Total DFT energy (no corrections) = -0.286 Ha/atom
Formation energy without anion corrections = -2222.3 meV/atom
Total magnetization = 0.00 μB/atom

---

# 3
# MgIrRh2

Crystalline MgIrRh2 at its relaxed geometry (GGA-PBE, Alexandria via LeMat-Bulk).

Unit cell a=2.7871 b=2.7871 c=7.6789 alpha=90.00 beta=90.00 gamma=90.00
Closest atoms and distances in Å follow each position.
Space group P4/mmm (No. 123)
Symmetry-distinct sites (fractional):
Mg (0.0000, 0.0000, 0.0000) x1  4 Mg 2.79, 8 Rh 2.81
Ir (0.0000, 0.0000, 0.5000) x1  8 Rh 2.69, 4 Ir 2.79
Rh (0.5000, 0.5000, 0.2611) x2  4 Ir 2.69, 4 Rh 2.79, 4 Mg 2.81

Properties
Total DFT energy (no corrections) = -0.238 Ha/atom
Energy relative to the elements = -0.18 eV per atom
Total magnetization = 0.00 μB/atom

---

# 4
# GaCo

Crystalline GaCo at its relaxed geometry (GGA-PBE, Alexandria via LeMat-Bulk).

Unit cell a=8.8090 b=8.8090 c=2.6770 alpha=90.00 beta=90.00 gamma=90.00
Closest atoms and distances in Å follow each position.
Space group I4/m (No. 87)
Symmetry-distinct sites (fractional):
Ga (0.1357, 0.1758, 0.0000) x8  5 Co 2.46-2.53, 4 Ga 2.68-2.75
Co (0.0383, 0.6679, 0.5000) x8  5 Ga 2.46-2.53, 6 Co 2.53-2.68

Properties
Total DFT energy (no corrections) = -0.190 Ha/atom
Energy relative to the elements = -0.10 eV per atom
Total magnetization = 0.00 μB/atom

---

- Look up the total DFT energy (no corrections) of the fourth one.
  -0.190 Ha/atom

---

- Among the records above, which one has the highest total DFT energy (no corrections)?
  NdSm4Ga2

---

What did the fourth record say?
# GaCo

Crystalline GaCo at its relaxed geometry (GGA-PBE, Alexandria via LeMat-Bulk).

Unit cell a=8.8090 b=8.8090 c=2.6770 alpha=90.00 beta=90.00 gamma=90.00
Closest atoms and distances in Å follow each position.
Space group I4/m (No. 87)
Symmetry-distinct sites (fractional):
Ga (0.1357, 0.1758, 0.0000) x8  5 Co 2.46-2.53, 4 Ga 2.68-2.75
Co (0.0383, 0.6679, 0.5000) x8  5 Ga 2.46-2.53, 6 Co 2.53-2.68

Properties
Total DFT energy (no corrections) = -0.190 Ha/atom
Energy relative to the elements = -0.10 eV per atom
Total magnetization = 0.00 μB/atom

---

Copy entry 2 word for word.
# LiU3Tl2O12

Crystalline LiU3Tl2O12 at its relaxed geometry (GGA-PBE, Alexandria via LeMat-Bulk).

Unit cell a=8.1062 b=8.1062 c=17.5260 alpha=90.00 beta=90.00 gamma=120.00
Closest atoms and distances in Å follow each position.
Space group R-3m (No. 166, hexagonal axes)
Symmetry-distinct sites (fractional):
Li (0.0000, 0.0000, 0.0000) x3  6 O 2.14
U (0.0000, 0.5000, 0.5000) x9  2 O 1.88
Tl (0.0000, 0.0000, 0.3450) x6  6 O 3.14-3.16
O (0.0729, 0.5365, 0.6034) x18  1 U 1.88
O (0.0886, 0.5443, 0.8601) x18  2 U 2.15

Properties
Total DFT energy (no corrections) = -0.286 Ha/atom
Formation energy without anion corrections = -2222.3 meV/atom
Total magnetization = 0.00 μB/atom